No. 1
The following is a PBE calculation of a relaxed structure of Rb3Co2Cl9, from the Alexandria database.

a b c (Å): 9.526 9.526 9.526
angles (deg): 77.11 77.11 77.11
Each line ends with the local moment (μB).
Element x y z (fractional)
Rb: 0.907 0.593 0.250  0.00
Cl: 0.729 0.887 0.044  0.00
Cl: 0.271 0.113 0.956  0.00
Rb: 0.093 0.407 0.750  0.00
Cl: 0.602 0.898 0.750  0.00
Co: 0.176 0.176 0.176  -0.12
Cl: 0.544 0.387 0.229  0.00
Cl: 0.113 0.956 0.271  0.00
Co: 0.324 0.324 0.324  -0.12
Co: 0.824 0.824 0.824  -0.12
Rb: 0.593 0.250 0.907  0.00
Cl: 0.898 0.750 0.602  0.00
Cl: 0.771 0.456 0.613  0.00
Cl: 0.229 0.544 0.387  0.00
Cl: 0.398 0.102 0.250  0.00
Cl: 0.102 0.250 0.398  0.00
Cl: 0.887 0.044 0.729  0.00
Cl: 0.956 0.271 0.113  0.00
Rb: 0.750 0.093 0.407  0.00
Rb: 0.407 0.750 0.093  0.00
Cl: 0.456 0.613 0.771  0.00
Cl: 0.750 0.602 0.898  0.00
Co: 0.676 0.676 0.676  -0.12
Cl: 0.387 0.229 0.544  0.00
Rb: 0.250 0.907 0.593  0.00
Cl: 0.613 0.771 0.456  0.00
Cl: 0.044 0.729 0.887  0.00
Cl: 0.250 0.398 0.102  0.00

## Properties
Space group ... R-3c
ΔE_f (raw) ... -16.60 eV/f.u.


No. 2
The following is a PBE calculation of a relaxed structure of TcP3, from the Alexandria database.

a b c (Å): 4.648 4.648 4.648
angles (deg): 139.75 120.04 74.71
Element x y z (fractional)
P: 0.776 0.776 0.000
P: 0.000 0.500 0.500
Tc: 0.500 0.000 0.500
P: 0.224 0.224 0.000

## Properties
Space group ... Immm
E_form ... 0.300 eV/atom
Polymorph energy (0 for the lowest one) ... 0.745 eV/atom


No. 3
The following is a PBE calculation of a relaxed structure of TcAs2Br, from the Alexandria database.

a b c (Å): 4.956 4.956 4.956
angles (deg): 129.44 129.44 74.30
Element x y z (fractional)
Br: 0.250 0.750 0.500
As: 0.500 0.500 0.000
Tc: 0.750 0.250 0.500
As: 0.000 0.000 0.000

## Properties
Space group ... I4/mmm
ΔE_f (raw) ... 2.71 eV/f.u.
Polymorph energy (0 for the lowest one) ... 0.686 eV/atom


no.,energy (eV per atom),V (Å³/atom)
1,-3.595,28.8
2,-6.349,13.7
3,-4.658,17.7